No. 1
First-principles (PBE) data for a relaxed Rb2In2As2O crystal, as listed in Alexandria.

Lattice parameters (Å, degrees): 13.234 4.348 8.233 90.00 121.11 90.00
Space group C2/m (No. 12)
Asymmetric unit:
Rb: 0.055 0.000 0.308 (multiplicity 4)
In: 0.177 0.500 0.066 (multiplicity 4)
As: 0.193 0.500 0.742 (multiplicity 4)
O: 0.000 0.500 0.000 (multiplicity 2)

Summary:
**ΔE_f (raw)**: -0.741 eV per atom
**Magnetization**: 0.000 Bohr magnetons per cell

---

No. 2
First-principles (PBE) data for a relaxed ZrV2Pt2 crystal, as listed in Alexandria.

Lattice parameters (Å, degrees): 7.664 7.664 2.754 90.00 90.00 90.00
Space group P4/mbm (No. 127)
Asymmetric unit:
Zr: 0.000 0.000 0.000 (multiplicity 2)
V: 0.167 0.333 0.500 (multiplicity 4)
Pt: 0.129 0.629 0.000 (multiplicity 4)

Summary:
**Magnetization**: 0.002 Bohr magnetons per cell
**Formation energy from the elements**: -0.435 eV/atom

---

No. 3
First-principles (PBE) data for a relaxed BeGeF2 crystal, as listed in Alexandria.

Lattice parameters (Å, degrees): 7.375 7.375 7.375 90.00 90.00 90.00
Space group Fd-3m (No. 227, origin choice 2)
Asymmetric unit:
Be: 0.125 0.125 0.125 (multiplicity 8)
Ge: 0.125 0.125 0.625 (multiplicity 8)
F: 0.000 0.000 0.000 (multiplicity 16)

Summary:
**ΔE_f (raw)**: -1.838 eV per atom
**Magnetization**: 0.001 Bohr magnetons per cell

---

No. 4
First-principles (PBE) data for a relaxed Er2NpPaN6 crystal, as listed in Alexandria.

Lattice parameters (Å, degrees): 5.8440 5.8440 14.6903 90.00 90.00 120.00
Space group R3 (No. 146, hexagonal axes)
Asymmetric unit:
Er: 0.0000 0.0000 0.0000 (multiplicity 3)
Er: 0.0000 0.0000 0.4954 (multiplicity 3)
Np: 0.0000 0.0000 0.7166 (multiplicity 3)
Pa: 0.0000 0.0000 0.2220 (multiplicity 3)
N: 0.0607 0.3482 0.7872 (multiplicity 9)
N: 0.0670 0.6910 0.2913 (multiplicity 9)

Summary:
**ΔE_f (raw)**: -1.367 eV per atom
**Magnetization**: 0.207 Bohr magnetons per cell